Entry 1:
Crystalline Cs2Hg3Pb2 at its relaxed geometry, computed with PBE.

Cell: 13.100 5.094 8.874 Å, 90.00 103.10 90.00°
Space group C2/m (No. 12)
Inequivalent atoms, fractional coordinates:
Cs: 0.097 0.000 0.334 (multiplicity 4)
Hg: 0.000 0.500 0.000 (multiplicity 2)
Hg: 0.121 0.500 0.692 (multiplicity 4)
Pb: 0.242 0.500 0.104 (multiplicity 4)

Computed properties:
Calculated formation energy, eV/atom: -0.20



Entry 2:
Crystalline CsHgPb2 at its relaxed geometry, computed with PBE.

Cell: 5.197 18.841 7.516 Å, 90.00 109.92 90.00°
Space group C2/c (No. 15)
Inequivalent atoms, fractional coordinates:
Cs: 0.000 0.070 0.250 (multiplicity 4)
Hg: 0.000 0.280 0.750 (multiplicity 4)
Pb: 0.185 0.363 0.129 (multiplicity 8)

Computed properties:
Calculated formation energy, eV/atom: -0.03